(1)
! RbCr2SnCl8 | Alexandria | PBE | optimized geometry; values from VASP
&SYSTEM
  ibrav = 0, nat = 12, ntyp = 4
/
ATOMIC_SPECIES
Rb 85.47 Rb.upf
Cr 52.00 Cr.upf
Sn 118.71 Sn.upf
Cl 35.45 Cl.upf
CELL_PARAMETERS angstrom
3.327 1.921 9.785
-3.327 1.921 9.785
0.000 -3.842 9.785
ATOMIC_POSITIONS crystal
Rb 0.000 0.000 0.000
Cr 0.248 0.248 0.248
Cr 0.752 0.752 0.752
Sn 0.500 0.500 0.500
Cl 0.105 0.435 0.773
Cl 0.227 0.565 0.895
Cl 0.324 0.324 0.324
Cl 0.435 0.773 0.105
Cl 0.565 0.895 0.227
Cl 0.676 0.676 0.676
Cl 0.773 0.105 0.435
Cl 0.895 0.227 0.565
! V: 375.19 Å³/cell
! N(E_F): 12.40 states/eV/f.u.
! M_tot: 7.000 Bohr magnetons per cell
! DFT total energy: -51.52 eV for the cell shown

---

(2)
! Dy2Ga4IrRh3 | Alexandria | PBE | optimized geometry; values from VASP
&SYSTEM
  ibrav = 0, nat = 10, ntyp = 4
/
ATOMIC_SPECIES
Dy 162.50 Dy.upf
Ga 69.72 Ga.upf
Ir 192.22 Ir.upf
Rh 102.91 Rh.upf
CELL_PARAMETERS angstrom
4.265 0.000 0.000
0.000 4.265 0.000
0.000 0.000 10.010
ATOMIC_POSITIONS crystal
Dy 0.000 0.500 0.232
Dy 0.500 0.000 0.768
Ga 0.000 0.000 0.500
Ga 0.000 0.500 0.871
Ga 0.500 0.000 0.129
Ga 0.500 0.500 0.500
Ir 0.500 0.500 0.000
Rh 0.000 0.000 0.000
Rh 0.000 0.500 0.628
Rh 0.500 0.000 0.372
! V: 182.06 Å³/cell
! N(E_F): 6.97 states/eV/f.u.
! M_tot: 0.000 Bohr magnetons per cell
! Formation energy: -777 meV per atom